# NpCu4Au8, optimized geometry, DFT GGA-PBE
# DFT total energy ... -0.161 hartree per atom
# Total magnetic moment ... 8.19 μB per cell
# Formation enthalpy at 0 K ... -0.096 eV/atom
data_NpCu4Au8
_space_group_name_H-M_alt 'I 4/m m m'
_space_group_IT_number 139
_space_group_name_Hall '-I 4 2'
_cell_length_a 9.2030
_cell_length_b 9.2030
_cell_length_c 5.3228
_cell_angle_alpha 90.00
_cell_angle_beta 90.00
_cell_angle_gamma 90.00
loop_
_atom_site_label
_atom_site_type_symbol
_atom_site_fract_x
_atom_site_fract_y
_atom_site_fract_z
Np1 Np 0.0000 0.0000 0.0000
Cu1 Cu 0.2500 0.2500 0.2500
Au1 Au 0.0000 0.2187 0.5000
Au2 Au 0.0000 0.3380 0.0000

# LiSmPu, optimized geometry, DFT GGA-PBE
# DFT total energy ... -0.246 hartree per atom
# Total magnetic moment ... 0.01 μB per cell
# Formation enthalpy at 0 K ... 0.300 eV/atom
# Energy above the lowest structure with this stoichiometry ... 45.3 meV/atom
data_LiSmPu
_space_group_name_H-M_alt 'P 1'
_space_group_IT_number 1
_cell_length_a 3.3637
_cell_length_b 3.9772
_cell_length_c 11.2541
_cell_angle_alpha 96.24
_cell_angle_beta 97.67
_cell_angle_gamma 103.47
loop_
_space_group_symop_operation_xyz
'x,y,z'
loop_
_atom_site_label
_atom_site_type_symbol
_atom_site_fract_x
_atom_site_fract_y
_atom_site_fract_z
Li1 Li 0.0000 0.0000 0.0000
Li2 Li 0.2250 0.1415 0.3684
Sm1 Sm 0.3726 0.4259 0.7999
Sm2 Sm 0.6231 0.5681 0.1911
Pu1 Pu 0.0274 0.5098 0.5693
Pu2 Pu 0.6514 0.9363 0.5695

# NbFeSbTe2, optimized geometry, DFT GGA-PBE
# DFT total energy ... -0.183 hartree per atom
# Formation energy without anion corrections ... 78.4 kJ per mole of atoms
# Total magnetic moment ... 3.95 μB per cell
# Energy above the lowest structure with this stoichiometry ... 50.2 meV/atom
data_NbFeSbTe2
_space_group_name_H-M_alt 'P 4/m m m'
_space_group_IT_number 123
_space_group_name_Hall '-P 4 2'
_cell_length_a 5.3738
_cell_length_b 5.3738
_cell_length_c 5.4292
_cell_angle_alpha 90.00
_cell_angle_beta 90.00
_cell_angle_gamma 90.00
loop_
_atom_site_label
_atom_site_type_symbol
_atom_site_fract_x
_atom_site_fract_y
_atom_site_fract_z
Nb1 Nb 0.0000 0.0000 0.0000
Fe1 Fe 0.5000 0.5000 0.5000
Sb1 Sb 0.0000 0.0000 0.5000
Te1 Te 0.0000 0.5000 0.0000

# VSb, optimized geometry, DFT GGA-PBE
# DFT total energy ... -0.237 hartree per atom
# Formation energy without anion corrections ... 17.5 kJ per mole of atoms
# Total magnetic moment ... 0.00 μB per cell
data_VSb
_space_group_name_H-M_alt 'P 4/m'
_space_group_IT_number 83
_cell_length_a 9.1669
_cell_length_b 9.1669
_cell_length_c 4.6458
_cell_angle_alpha 90.00
_cell_angle_beta 90.00
_cell_angle_gamma 90.00
loop_
_space_group_symop_operation_xyz
'x,y,z'
'-x,-y,-z'
'-y,x,z'
'y,-x,-z'
'-x,-y,z'
'x,y,-z'
'y,-x,z'
'-y,x,-z'
loop_
_atom_site_label
_atom_site_type_symbol
_atom_site_fract_x
_atom_site_fract_y
_atom_site_fract_z
V1 V 0.0367 0.3857 0.0000
V2 V 0.1117 0.5924 0.5000
Sb1 Sb 0.1398 0.2662 0.5000
Sb2 Sb 0.2624 0.5863 0.0000

# Al5ZnFe4, optimized geometry, DFT GGA-PBE
# DFT total energy ... -0.208 hartree per atom
# Total magnetic moment ... 1.90 μB per cell
# Formation enthalpy at 0 K ... -0.272 eV/atom
data_Al5ZnFe4
_space_group_name_H-M_alt 'P 4/m m m'
_space_group_IT_number 123
_space_group_name_Hall '-P 4 2'
_cell_length_a 2.9009
_cell_length_b 2.9009
_cell_length_c 14.8345
_cell_angle_alpha 90.00
_cell_angle_beta 90.00
_cell_angle_gamma 90.00
loop_
_atom_site_label
_atom_site_type_symbol
_atom_site_fract_x
_atom_site_fract_y
_atom_site_fract_z
Al1 Al 0.0000 0.0000 0.0000
Al2 Al 0.0000 0.0000 0.1925
Al3 Al 0.0000 0.0000 0.3766
Zn1 Zn 0.5000 0.5000 0.5000
Fe1 Fe 0.5000 0.5000 0.0948
Fe2 Fe 0.5000 0.5000 0.2893

# AlInGaGe, optimized geometry, DFT GGA-PBE
# DFT total energy ... -0.124 hartree per atom
# Total magnetic moment ... 0.00 μB per cell
# Formation enthalpy at 0 K ... 0.167 eV/atom
data_AlInGaGe
_space_group_name_H-M_alt 'F -4 3 m'
_space_group_IT_number 216
_space_group_name_Hall 'F -4 2 3'
_cell_length_a 6.9210
_cell_length_b 6.9210
_cell_length_c 6.9210
_cell_angle_alpha 90.00
_cell_angle_beta 90.00
_cell_angle_gamma 90.00
loop_
_atom_site_label
_atom_site_type_symbol
_atom_site_fract_x
_atom_site_fract_y
_atom_site_fract_z
Al1 Al 0.0000 0.0000 0.0000
In1 In 0.0000 0.0000 0.5000
Ga1 Ga 0.2500 0.2500 0.2500
Ge1 Ge 0.2500 0.2500 0.7500